[1]
Density functional theory data (PBE) for a geometry-optimized PmLuAg structure.

Values from the calculation:
* distance to the lowest polymorph of the same formula: 0 meV per atom
* formation energy from the elements: -0.17 eV per atom
* VASP energy: -12.6 eV per cell
* DOS(E_F): 3.88 states/eV/cell
* ρ: 8.75 g cm⁻³

Cell and atoms, written as POSCAR:
```
PmLuAg
1.0
-1.791 1.791 6.333
1.791 -1.791 6.333
1.791 1.791 -6.333
Pm Lu Ag
1 1 1
direct
0.000 0.000 0.000 Pm
0.299 0.299 0.000 Lu
0.667 0.667 0.000 Ag
```

[2]
Density functional theory data (PBE) for a geometry-optimized Pm2LuAg structure.

Values from the calculation:
* distance to the lowest polymorph of the same formula: 0 meV per atom
* formation energy from the elements: -0.10 eV per atom
* VASP energy: -17.3 eV per cell
* DOS(E_F): 6.78 states/eV/cell
* ρ: 8.15 g cm⁻³

Cell and atoms, written as POSCAR:
```
Pm2LuAg
1.0
3.667 0.000 0.000
0.000 3.667 0.000
0.000 0.000 8.685
Pm Lu Ag
2 1 1
direct
0.000 0.000 0.222 Pm
0.000 0.000 0.778 Pm
0.500 0.500 0.500 Lu
0.500 0.500 0.000 Ag
```

[3]
Density functional theory data (PBE) for a geometry-optimized PmLuAg4 structure.

Values from the calculation:
* formation energy from the elements: -0.16 eV per atom
* VASP energy: -21.7 eV per cell
* DOS(E_F): 5.26 states/eV/cell
* ρ: 9.46 g cm⁻³

Cell and atoms, written as POSCAR:
```
PmLuAg4
1.0
0.000 4.040 4.040
4.040 0.000 4.040
4.040 4.040 0.000
Pm Lu Ag
1 1 4
direct
0.000 0.000 0.000 Pm
0.250 0.250 0.250 Lu
0.126 0.625 0.625 Ag
0.625 0.126 0.625 Ag
0.625 0.625 0.126 Ag
0.625 0.625 0.625 Ag
```

[4]
Density functional theory data (PBE) for a geometry-optimized PmLuAg structure.

Values from the calculation:
* distance to the lowest polymorph of the same formula: 137 meV per atom
* formation energy from the elements: -0.04 eV per atom
* VASP energy: -12.2 eV per cell
* DOS(E_F): 2.78 states/eV/cell
* ρ: 8.62 g cm⁻³

Cell and atoms, written as POSCAR:
```
PmLuAg
1.0
5.028 0.000 0.000
-2.514 4.355 0.000
0.000 0.000 3.763
Pm Lu Ag
1 1 1
direct
0.000 0.000 0.000 Pm
0.333 0.667 0.479 Lu
0.667 0.333 0.609 Ag
```

[5]
Density functional theory data (PBE) for a geometry-optimized PmLuAgPt structure.

Values from the calculation:
* formation energy from the elements: -0.75 eV per atom
* VASP energy: -21.2 eV per cell
* DOS(E_F): 2.15 states/eV/cell
* ρ: 11.40 g cm⁻³

Cell and atoms, written as POSCAR:
```
PmLuAgPt
1.0
0.000 3.566 3.566
3.566 0.000 3.566
3.566 3.566 0.000
Pm Lu Ag Pt
1 1 1 1
direct
0.000 0.000 0.000 Pm
0.500 0.500 0.500 Lu
0.250 0.250 0.250 Ag
0.750 0.750 0.750 Pt
```

[6]
Density functional theory data (PBE) for a geometry-optimized PmLuScAg structure.

Values from the calculation:
* formation energy from the elements: 0.11 eV per atom
* VASP energy: -18.0 eV per cell
* DOS(E_F): 5.18 states/eV/cell
* ρ: 7.84 g cm⁻³

Cell and atoms, written as POSCAR:
```
PmLuScAg
1.0
0.000 3.686 3.686
3.686 0.000 3.686
3.686 3.686 0.000
Pm Lu Sc Ag
1 1 1 1
direct
0.000 0.000 0.000 Pm
0.250 0.250 0.250 Lu
0.750 0.750 0.750 Sc
0.500 0.500 0.500 Ag
```

[7]
Density functional theory data (PBE) for a geometry-optimized TbPmLuAg structure.

Values from the calculation:
* formation energy from the elements: 0.10 eV per atom
* VASP energy: -16.3 eV per cell
* DOS(E_F): 6.08 states/eV/cell
* ρ: 8.84 g cm⁻³

Cell and atoms, written as POSCAR:
```
TbPmLuAg
1.0
0.000 3.806 3.806
3.806 0.000 3.806
3.806 3.806 0.000
Tb Pm Lu Ag
1 1 1 1
direct
0.000 0.000 0.000 Tb
0.750 0.750 0.750 Pm
0.500 0.500 0.500 Lu
0.250 0.250 0.250 Ag
```

[8]
Density functional theory data (PBE) for a geometry-optimized PmLuTlAg structure.

Values from the calculation:
* formation energy from the elements: -0.32 eV per atom
* VASP energy: -15.8 eV per cell
* DOS(E_F): 2.98 states/eV/cell
* ρ: 10.06 g cm⁻³

Cell and atoms, written as POSCAR:
```
PmLuTlAg
1.0
0.000 3.737 3.737
3.737 0.000 3.737
3.737 3.737 0.000
Pm Lu Tl Ag
1 1 1 1
direct
0.000 0.000 0.000 Pm
0.500 0.500 0.500 Lu
0.750 0.750 0.750 Tl
0.250 0.250 0.250 Ag
```

[9]
Density functional theory data (PBE) for a geometry-optimized PrLuAg2 structure.

Values from the calculation:
* distance to the lowest polymorph of the same formula: 0 meV per atom
* formation energy from the elements: -0.30 eV per atom
* VASP energy: -16.2 eV per cell
* DOS(E_F): 1.95 states/eV/cell
* ρ: 8.95 g cm⁻³

Cell and atoms, written as POSCAR:
```
PrLuAg2
1.0
3.608 0.000 0.000
0.000 3.608 0.000
0.000 0.000 7.577
Pr Lu Ag
1 1 2
direct
0.000 0.000 0.000 Pr
0.000 0.000 0.500 Lu
0.500 0.500 0.280 Ag
0.500 0.500 0.720 Ag
```

[10]
Density functional theory data (PBE) for a geometry-optimized PrLu2Ag structure.

Values from the calculation:
* distance to the lowest polymorph of the same formula: 0 meV per atom
* formation energy from the elements: -0.01 eV per atom
* VASP energy: -16.7 eV per cell
* DOS(E_F): 4.96 states/eV/cell
* ρ: 8.71 g cm⁻³

Cell and atoms, written as POSCAR:
```
PrLu2Ag
1.0
1.788 1.032 10.311
-1.788 1.032 10.311
0.000 -2.065 10.311
Pr Lu Ag
1 2 1
direct
0.000 0.000 0.000 Pr
0.239 0.239 0.239 Lu
0.761 0.761 0.761 Lu
0.500 0.500 0.500 Ag
```

[11]
Density functional theory data (PBE) for a geometry-optimized Pr2LuAg structure.

Values from the calculation:
* distance to the lowest polymorph of the same formula: 290 meV per atom
* formation energy from the elements: 0.21 eV per atom
* VASP energy: -16.1 eV per cell
* DOS(E_F): 6.13 states/eV/cell
* ρ: 7.66 g cm⁻³

Cell and atoms, written as POSCAR:
```
Pr2LuAg
1.0
1.724 0.995 11.887
-1.724 0.995 11.887
0.000 -1.990 11.887
Pr Lu Ag
2 1 1
direct
0.095 0.095 0.095 Pr
0.905 0.905 0.905 Pr
0.000 0.000 0.000 Lu
0.500 0.500 0.500 Ag
```

[12]
Density functional theory data (PBE) for a geometry-optimized PrLu2Ag structure.

Values from the calculation:
* distance to the lowest polymorph of the same formula: 34 meV per atom
* formation energy from the elements: 0.02 eV per atom
* VASP energy: -16.6 eV per cell
* DOS(E_F): 5.97 states/eV/cell
* ρ: 9.03 g cm⁻³

Cell and atoms, written as POSCAR:
```
PrLu2Ag
1.0
4.763 0.000 0.000
0.000 4.763 0.000
0.000 0.000 4.852
Pr Lu Ag
1 2 1
direct
0.000 0.000 0.000 Pr
0.000 0.500 0.500 Lu
0.500 0.000 0.500 Lu
0.500 0.500 0.000 Ag
```

- The highest VASP energy belongs to which entry?
  number 4

- Which of these has the highest DOS(E_F)?
  Pm2LuAg